VASP calculation (GGA-PBE) on a relaxed structure of Ge2CCl.

Summary:
**Distance to the lowest polymorph of the same formula**: 692 meV/atom
**Total moment**: 0.00 μB/cell
**Formation energy from raw total energies**: 5.28 eV/f.u.

a b c (Å): 4.4987 4.4987 4.4987
angles (deg): 60.00 60.00 60.00
Fractional coordinates of all 4 atoms:
Ge 0.2500 0.2500 0.2500
Ge 0.7500 0.7500 0.7500
C 0.0000 0.0000 0.0000
Cl 0.5000 0.5000 0.5000